Fe5GeO6: relaxed, PBE with a Hubbard U.

Structure (POSCAR):
```
Fe5GeO6
1.0
5.432 0.068 0.000
1.596 5.218 0.000
0.798 2.609 4.732
O Fe Ge
6 5 1
direct
0.750 0.095 0.351
0.250 0.554 0.351
0.750 0.446 0.649
0.728 0.746 0.000
0.272 0.254 0.000
0.250 0.905 0.649
0.000 0.333 0.335
0.500 0.168 0.665
0.500 0.500 0.000
0.000 0.667 0.665
0.500 0.832 0.335
0.000 0.000 0.000
```

Values from the calculation:
- magnetic moment (μB/f.u.) = 20.00
- raw total energy (eV/atom) = -6.440
- V (Å³ per cell) = 133.6
- space group = C2/m